Entry 1:
# Li4Mn2Cu3O10, single point on PBEsol structure, DFT SCAN
data_Li4Mn2Cu3O10
_chemical_formula_sum 'Li4 Mn2 Cu3 O10'
_space_group_name_H-M_alt 'P -1'
_space_group_IT_number 2
_space_group_name_Hall '-P 1'
_cell_length_a 4.963
_cell_length_b 5.207
_cell_length_c 7.464
_cell_angle_alpha 104.94
_cell_angle_beta 102.46
_cell_angle_gamma 105.13
loop_
_atom_site_label
_atom_site_type_symbol
_atom_site_fract_x
_atom_site_fract_y
_atom_site_fract_z
Li1 Li 0.102 0.206 0.222
Li2 Li 0.279 0.590 0.600
Mn1 Mn 0.403 0.820 0.311
Cu1 Cu 0.195 0.379 0.894
Cu2 Cu 0.500 0.000 0.000
O1 O 0.058 0.600 0.326
O2 O 0.160 0.834 0.076
O3 O 0.290 0.983 0.761
O4 O 0.382 0.171 0.456
O5 O 0.445 0.472 0.161
# Crystal system: triclinic
# M_tot in μB/cell: 4.97
# ΔE_f (raw) in meV/atom: -1643
# Total DFT energy (no corrections) in eV per atom: -9.75


Entry 2:
# Li2IrRh, single point on PBEsol structure, DFT SCAN
data_Li2IrRh
_chemical_formula_sum 'Li4 Ir2 Rh2'
_space_group_name_H-M_alt 'I m m m'
_space_group_IT_number 71
_space_group_name_Hall '-I 2 2'
_cell_length_a 2.668
_cell_length_b 4.482
_cell_length_c 8.765
_cell_angle_alpha 90.00
_cell_angle_beta 90.00
_cell_angle_gamma 90.00
loop_
_atom_site_label
_atom_site_type_symbol
_atom_site_fract_x
_atom_site_fract_y
_atom_site_fract_z
Li1 Li 0.000 0.000 0.247
Ir1 Ir 0.000 0.500 0.000
Rh1 Rh 0.000 0.500 0.500
# Crystal system: orthorhombic
# DFT formation energy in eV per formula unit: -0.978
# M_tot in μB/cell: 0.51
# Total DFT energy (no corrections) in eV per atom: -27.66


Entry 3:
# Li2NiRu, single point on PBEsol structure, DFT SCAN
data_Li2NiRu
_chemical_formula_sum 'Li2 Ni1 Ru1'
_space_group_name_H-M_alt 'P 1 2/m 1'
_space_group_IT_number 10
_space_group_name_Hall '-P 2y'
_cell_length_a 2.458
_cell_length_b 4.372
_cell_length_c 4.471
_cell_angle_alpha 90.00
_cell_angle_beta 93.06
_cell_angle_gamma 90.00
loop_
_atom_site_label
_atom_site_type_symbol
_atom_site_fract_x
_atom_site_fract_y
_atom_site_fract_z
Li1 Li 0.207 0.000 0.249
Ni1 Ni 0.000 0.500 0.500
Ru1 Ru 0.500 0.500 0.000
# Crystal system: monoclinic
# DFT formation energy in eV per formula unit: 0.205
# M_tot in μB/cell: 0.80
# Total DFT energy (no corrections) in eV per atom: -13.89


Entry 4:
# NaSnMoAs2, single point on PBEsol structure, DFT SCAN
data_NaSnMoAs2
_chemical_formula_sum 'Na1 Sn1 Mo1 As2'
_space_group_name_H-M_alt 'P 4/m m m'
_space_group_IT_number 123
_space_group_name_Hall '-P 4 2'
_cell_length_a 5.304
_cell_length_b 5.304
_cell_length_c 5.191
_cell_angle_alpha 90.00
_cell_angle_beta 90.00
_cell_angle_gamma 90.00
loop_
_atom_site_label
_atom_site_type_symbol
_atom_site_fract_x
_atom_site_fract_y
_atom_site_fract_z
Na1 Na 0.000 0.000 0.000
Sn1 Sn 0.500 0.500 0.500
Mo1 Mo 0.500 0.500 0.000
As1 As 0.000 0.500 0.500
# Crystal system: tetragonal
# DFT formation energy in eV per formula unit: 5.051
# M_tot in μB/cell: 3.57
# Total DFT energy (no corrections) in eV per atom: -22.07


Entry 5:
# Li2VF6, single point on PBEsol structure, DFT SCAN
data_Li2VF6
_chemical_formula_sum 'Li4 V2 F12'
_space_group_name_H-M_alt 'P 1 c 1'
_space_group_IT_number 7
_space_group_name_Hall 'P -2yc'
_cell_length_a 5.008
_cell_length_b 5.214
_cell_length_c 8.869
_cell_angle_alpha 90.00
_cell_angle_beta 123.85
_cell_angle_gamma 90.00
loop_
_atom_site_label
_atom_site_type_symbol
_atom_site_fract_x
_atom_site_fract_y
_atom_site_fract_z
Li1 Li 0.000 0.186 0.000
Li2 Li 0.220 0.255 0.728
V1 V 0.714 0.263 0.223
F1 F 0.058 0.073 0.264
F2 F 0.343 0.437 0.162
F3 F 0.454 0.022 0.651
F4 F 0.615 0.300 0.987
F5 F 0.849 0.190 0.458
F6 F 0.936 0.430 0.795
# Crystal system: monoclinic
# M_tot in μB/cell: 2.00
# ΔE_f (raw) in meV/atom: -3115
# Total DFT energy (no corrections) in eV per atom: -7.95


Entry 6:
# CoRh2, single point on PBEsol structure, DFT SCAN
data_CoRh2
_chemical_formula_sum 'Co2 Rh4'
_space_group_name_H-M_alt 'P 4/n m m'
_space_group_IT_number 129
_cell_length_a 2.638
_cell_length_b 2.638
_cell_length_c 10.773
_cell_angle_alpha 90.00
_cell_angle_beta 90.00
_cell_angle_gamma 90.00
loop_
_space_group_symop_operation_xyz
'x,y,z'
'-x,-y,-z'
'-y+1/2,x,z'
'y+1/2,-x,-z'
'-x+1/2,-y+1/2,z'
'x+1/2,y+1/2,-z'
'y,-x+1/2,z'
'-y,x+1/2,-z'
'x+1/2,-y,-z'
'-x+1/2,y,z'
'-y,-x,-z'
'y,x,z'
'-x,y+1/2,-z'
'x,-y+1/2,z'
'y+1/2,x+1/2,-z'
'-y+1/2,-x+1/2,z'
loop_
_atom_site_label
_atom_site_type_symbol
_atom_site_fract_x
_atom_site_fract_y
_atom_site_fract_z
Co1 Co 0.250 0.250 0.072
Rh1 Rh 0.250 0.250 0.412
Rh2 Rh 0.250 0.250 0.765
# Crystal system: tetragonal
# DFT formation energy in eV per formula unit: 0.111
# M_tot in μB/cell: 4.79
# Total DFT energy (no corrections) in eV per atom: -28.25


Entry 7:
# K3SbH, single point on PBEsol structure, DFT SCAN
data_K3SbH
_chemical_formula_sum 'K3 Sb1 H1'
_space_group_name_H-M_alt 'P m -3 m'
_space_group_IT_number 221
_space_group_name_Hall '-P 4 2 3'
_cell_length_a 5.354
_cell_length_b 5.354
_cell_length_c 5.354
_cell_angle_alpha 90.00
_cell_angle_beta 90.00
_cell_angle_gamma 90.00
loop_
_atom_site_label
_atom_site_type_symbol
_atom_site_fract_x
_atom_site_fract_y
_atom_site_fract_z
K1 K 0.000 0.000 0.500
Sb1 Sb 0.500 0.500 0.500
H1 H 0.000 0.000 0.000
# Crystal system: cubic
# M_tot in μB/cell: 1.00
# Total DFT energy (no corrections) in eV per atom: -13.49


Entry 8:
# ScBi2TeO, single point on PBEsol structure, DFT SCAN
data_ScBi2TeO
_chemical_formula_sum 'Sc1 Bi2 Te1 O1'
_space_group_name_H-M_alt 'P 4/m m m'
_space_group_IT_number 123
_space_group_name_Hall '-P 4 2'
_cell_length_a 5.429
_cell_length_b 5.429
_cell_length_c 4.025
_cell_angle_alpha 90.00
_cell_angle_beta 90.00
_cell_angle_gamma 90.00
loop_
_atom_site_label
_atom_site_type_symbol
_atom_site_fract_x
_atom_site_fract_y
_atom_site_fract_z
Sc1 Sc 0.000 0.000 0.000
Bi1 Bi 0.000 0.500 0.500
Te1 Te 0.500 0.500 0.000
O1 O 0.000 0.000 0.500
# Crystal system: tetragonal
# M_tot in μB/cell: 0.00
# ΔE_f (raw) in meV/atom: -659
# Total DFT energy (no corrections) in eV per atom: -43.63


Entry 9:
# AsS2F, single point on PBEsol structure, DFT SCAN
data_AsS2F
_chemical_formula_sum 'As3 S6 F3'
_space_group_name_H-M_alt 'R -3 m'
_space_group_IT_number 166
_space_group_name_Hall '-R 3 2"'
_cell_length_a 2.7864
_cell_length_b 2.7864
_cell_length_c 25.6702
_cell_angle_alpha 90.00
_cell_angle_beta 90.00
_cell_angle_gamma 120.00
loop_
_atom_site_label
_atom_site_type_symbol
_atom_site_fract_x
_atom_site_fract_y
_atom_site_fract_z
As1 As 0.0000 0.0000 0.0000
S1 S 0.0000 0.0000 0.0928
F1 F 0.0000 0.0000 0.5000
# Crystal system: trigonal
# M_tot in μB/cell: 0.00
# ΔE_f (raw) in meV/atom: 361
# Total DFT energy (no corrections) in eV per atom: -10.39


Entry 10:
# BaTlCu2, single point on PBEsol structure, DFT SCAN
data_BaTlCu2
_chemical_formula_sum 'Ba2 Tl2 Cu4'
_space_group_name_H-M_alt 'A m m 2'
_space_group_IT_number 38
_space_group_name_Hall 'A 2 -2'
_cell_length_a 4.220
_cell_length_b 4.025
_cell_length_c 11.386
_cell_angle_alpha 90.00
_cell_angle_beta 90.00
_cell_angle_gamma 90.00
loop_
_atom_site_label
_atom_site_type_symbol
_atom_site_fract_x
_atom_site_fract_y
_atom_site_fract_z
Ba1 Ba 0.000 0.000 0.000
Tl1 Tl 0.500 0.000 0.708
Cu1 Cu 0.000 0.000 0.273
Cu2 Cu 0.500 0.000 0.370
# Crystal system: orthorhombic
# DFT formation energy in eV per formula unit: 0.124
# M_tot in μB/cell: 0.00
# Total DFT energy (no corrections) in eV per atom: -35.55


Entry 11:
# BaLiMg, single point on PBEsol structure, DFT SCAN
data_BaLiMg
_chemical_formula_sum 'Ba2 Li2 Mg2'
_space_group_name_H-M_alt 'I 4 m m'
_space_group_IT_number 107
_space_group_name_Hall 'I 4 -2'
_cell_length_a 4.011
_cell_length_b 4.011
_cell_length_c 12.126
_cell_angle_alpha 90.00
_cell_angle_beta 90.00
_cell_angle_gamma 90.00
loop_
_atom_site_label
_atom_site_type_symbol
_atom_site_fract_x
_atom_site_fract_y
_atom_site_fract_z
Ba1 Ba 0.000 0.000 0.000
Li1 Li 0.000 0.000 0.296
Mg1 Mg 0.000 0.000 0.696
# Crystal system: tetragonal
# DFT formation energy in eV per formula unit: -0.008
# M_tot in μB/cell: 0.07
# Total DFT energy (no corrections) in eV per atom: -15.64


Entry 12:
# Sr2AlSi, single point on PBEsol structure, DFT SCAN
data_Sr2AlSi
_chemical_formula_sum 'Sr4 Al2 Si2'
_space_group_name_H-M_alt 'A m m 2'
_space_group_IT_number 38
_space_group_name_Hall 'A 2 -2'
_cell_length_a 4.226
_cell_length_b 4.713
_cell_length_c 11.852
_cell_angle_alpha 90.00
_cell_angle_beta 90.00
_cell_angle_gamma 90.00
loop_
_atom_site_label
_atom_site_type_symbol
_atom_site_fract_x
_atom_site_fract_y
_atom_site_fract_z
Sr1 Sr 0.000 0.000 0.000
Sr2 Sr 0.500 0.000 0.284
Al1 Al 0.000 0.000 0.698
Si1 Si 0.500 0.000 0.575
# Crystal system: orthorhombic
# M_tot in μB/cell: 0.00
# ΔE_f (raw) in meV/atom: -398
# Total DFT energy (no corrections) in eV per atom: -15.98


Entry 13:
# HgSb, single point on PBEsol structure, DFT SCAN
data_HgSb
_chemical_formula_sum 'Hg4 Sb4'
_space_group_name_H-M_alt 'I m m a'
_space_group_IT_number 74
_space_group_name_Hall '-I 2b 2'
_cell_length_a 3.976
_cell_length_b 4.357
_cell_length_c 11.988
_cell_angle_alpha 90.00
_cell_angle_beta 90.00
_cell_angle_gamma 90.00
loop_
_atom_site_label
_atom_site_type_symbol
_atom_site_fract_x
_atom_site_fract_y
_atom_site_fract_z
Hg1 Hg 0.000 0.250 0.092
Sb1 Sb 0.000 0.250 0.657
# Crystal system: orthorhombic
# M_tot in μB/cell: 0.00
# ΔE_f (raw) in meV/atom: 128
# Total DFT energy (no corrections) in eV per atom: -52.59